VASP calculation (PBE) on a relaxed structure of SiMo2Au.

Cell and atoms, written as POSCAR:
```
SiMo2Au
1.0
4.462 0.000 0.000
2.231 3.864 0.000
2.231 1.288 3.643
Mo Au Si
2 1 1
Direct
0.250 0.250 0.250
0.000 0.000 0.000
0.500 0.500 0.500
0.750 0.750 0.750
```

Summary:
**Total moment**: 0.00 μB per formula unit
**E_tot**: -28.93 eV/cell
**Space group**: F-43m, No. 216
**Formation energy without anion corrections**: 0.357 eV per atom